Here is a relaxed BaNdDyMnO6 crystal from Alexandria. Energies are from PBE+U.

Output
The density of states at the Fermi level comes out at 0.0 states/eV/cell. Its total energy is -7.457 eV/atom.

Structure (POSCAR):
```
BaNdDyMnO6
1.0
-5.368 -1.958 1.014
-4.409 1.758 -3.340
-2.486 -3.705 -3.711
O Mn Ba Nd Dy
6 1 1 1 1
Direct
0.733 0.267 0.733
0.267 0.733 0.267
0.733 0.267 0.267
0.733 0.733 0.267
0.267 0.733 0.733
0.267 0.267 0.733
0.500 0.500 0.500
0.250 0.250 0.250
0.750 0.750 0.750
0.000 0.000 0.000
```